Record 1
The following is a DFT calculation (PBE-GGA) of a relaxed structure of Y4Hg5Ir2.

Values from the calculation:
formation enthalpy at 0 K: -0.5497 eV/atom
crystal system: monoclinic

a b c (Å): 7.664 3.635 9.543
angles (deg): 90.00 94.86 90.00
Fractional positions:
Y1 0.180 0.000 0.352
Y2 0.217 0.000 0.939
Y3 0.783 0.000 0.061
Y4 0.820 0.000 0.648
Hg1 0.170 0.500 0.644
Hg2 0.458 0.500 0.168
Hg3 0.500 0.500 0.500
Hg4 0.542 0.500 0.832
Hg5 0.830 0.500 0.356
Ir1 0.079 0.500 0.140
Ir2 0.921 0.500 0.860


Record 2
The following is a DFT calculation (PBE-GGA) of a relaxed structure of Li2Mg2AlCdAu2.

Values from the calculation:
crystal system: tetragonal

a b c (Å): 4.559 4.559 6.501
angles (deg): 90.00 90.00 90.00
Fractional positions:
Li1 0.000 0.500 0.244
Li2 0.500 0.000 0.756
Mg1 0.000 0.000 0.000
Mg2 0.500 0.500 0.500
Al1 0.500 0.500 0.000
Cd1 0.000 0.000 0.500
Au1 0.000 0.500 0.774
Au2 0.500 0.000 0.226


Let's list electronic total energy in order: -0.34147; -0.20064 Ry/atom.